{
  "formula": "RbBi2S3",
  "functional": "PBE-GGA",
  "state": "optimized geometry",
  "lattice_angstrom": [[5.861, -5.271, 0.000], [5.861, 5.271, 0.000], [0.000, 0.000, 6.945]],
  "species": ["Rb", "Rb", "Bi", "Bi", "Bi", "Bi", "S", "S", "S", "S", "S", "S"],
  "fractional_positions": [[0.150, 0.850, 0.750], [0.850, 0.150, 0.250], [0.319, 0.319, 0.000], [0.319, 0.319, 0.500], [0.681, 0.681, 0.000], [0.681, 0.681, 0.500], [0.057, 0.326, 0.750], [0.326, 0.057, 0.250], [0.418, 0.582, 0.250], [0.582, 0.418, 0.750], [0.674, 0.943, 0.750], [0.943, 0.674, 0.250]],
  "density_g_cm3": 4.64,
  "crystal_system": "orthorhombic",
  "raw_formation_energy_ev_per_atom": -0.34
}